Entry 1:
15
Lattice="5.022 0.000 2.268 2.511 6.059 1.134 0.018 0.000 6.656" Properties=species:S:1:pos:R:3 comment="GGA-PBE Pm4RuO10, optimized geometry" spacegroup="I4/m (87)" raw_formation_energy_kj_per_mol_fu=-3297 pbc="T T T"
O 4.315 5.555 6.795
O 2.520 3.030 4.462
O 7.116 5.555 8.060
O 0.435 0.504 1.998
O 1.335 1.642 6.698
O 5.031 3.030 5.596
O 3.236 0.504 3.263
O 6.215 4.417 3.359
O 4.137 1.642 7.963
O 3.414 4.417 2.095
Pm 2.000 2.433 2.266
Pm 3.530 1.242 5.573
Pm 5.551 3.626 7.792
Pm 4.021 4.817 4.485
Ru 0.000 0.000 0.000



Entry 2:
4
Lattice="-0.384 5.485 0.726 -0.134 2.117 5.125 4.345 2.852 1.937" Properties=species:S:1:pos:R:3 comment="GGA-PBE TbNdErMg, optimized geometry" relative_energy_ev_per_atom=0.0549 delta_e_f_ev_per_atom=0.028 spacegroup="F-43m (216)" pbc="T T T"
Tb 0.957 2.614 1.947
Er 1.913 5.227 3.894
Nd 2.870 7.841 5.841
Mg 0.000 0.000 0.000



Entry 3:
4
Lattice="4.856 0.028 0.121 4.059 2.665 0.121 1.288 0.389 4.368" Properties=species:S:1:pos:R:3 comment="GGA-PBE Fe2AgRu, optimized geometry" relative_energy_ev_per_atom=0.0660 delta_e_f_ev_per_atom=0.366 spacegroup="Cm (8)" pbc="T T T"
Fe 2.681 0.810 1.249
Fe 10.017 3.025 4.566
Ru 5.197 1.570 2.110
Ag 7.612 2.299 3.598



Entry 4:
8
Lattice="4.764 0.000 0.000 0.000 5.882 -0.190 0.000 -2.775 5.190" Properties=species:S:1:pos:R:3 comment="GGA-PBE CdAg6Pd, optimized geometry" relative_energy_ev_per_atom=0.0336 delta_e_f_ev_per_atom=-0.016 spacegroup="P-6m2 (187)" pbc="T T T"
Ag 0.000 -0.650 2.155
Ag 2.382 5.147 0.267
Ag 2.382 2.232 0.361
Ag 2.382 3.772 2.839
Ag 0.000 0.888 4.629
Ag 0.000 2.261 2.061
Cd 0.000 -2.053 4.742
Pd 2.382 0.831 2.950



Entry 5:
10
Lattice="7.783 0.000 0.000 0.000 7.783 0.000 0.000 0.000 6.505" Properties=species:S:1:pos:R:3 comment="GGA-PBE Cs2Bi2Au, optimized geometry" delta_e_f_ev_per_atom=-0.250 spacegroup="P4/mbm (127)" pbc="T T T"
Bi 6.647 2.756 0.000
Bi 1.135 5.027 0.000
Bi 5.027 6.647 0.000
Bi 2.756 1.135 0.000
Cs 6.462 5.212 3.253
Cs 2.571 6.462 3.253
Cs 1.321 2.571 3.253
Cs 5.212 1.321 3.253
Au 0.000 0.000 0.000
Au 3.891 3.891 0.000



Entry 6:
5
Lattice="3.077 0.000 0.000 0.000 3.077 0.000 1.538 1.538 7.061" Properties=species:S:1:pos:R:3 comment="GGA-PBE SnB2Ir2, optimized geometry" delta_e_f_ev_per_atom=-0.079 spacegroup="I4/mmm (139)" pbc="T T T"
Sn 0.000 0.000 0.000
Ir 1.538 1.538 2.032
Ir 3.077 3.077 5.030
B 1.538 3.077 3.531
B 3.077 1.538 3.531



Entry 7:
10
Lattice="3.701 0.000 0.000 0.000 3.701 0.000 0.000 0.000 18.746" Properties=species:S:1:pos:R:3 comment="GGA-PBE Y5ZnCd4, optimized geometry" delta_e_f_ev_per_atom=-0.353 spacegroup="P4/mmm (123)" pbc="T T T"
Cd 0.000 0.000 15.100
Cd 0.000 0.000 7.468
Cd 0.000 0.000 11.278
Cd 0.000 0.000 3.646
Y 1.851 1.851 9.373
Y 1.851 1.851 17.031
Y 1.851 1.851 5.557
Y 1.851 1.851 13.190
Y 1.851 1.851 1.716
Zn 0.000 0.000 0.000



Entry 8:
20
Lattice="4.051 0.000 0.000 0.000 8.941 0.000 0.000 0.000 8.725" Properties=species:S:1:pos:R:3 comment="GGA-PBE AlPd3Pt, optimized geometry" relative_energy_ev_per_atom=0.0000 delta_e_f_ev_per_atom=-0.408 spacegroup="Pnma (62)" pbc="T T T"
Al 1.013 5.828 7.333
Al 3.038 7.585 2.970
Al 3.038 3.114 1.392
Al 1.013 1.357 5.754
Pd 3.038 0.432 1.159
Pd 3.038 1.448 7.298
Pd 1.013 0.404 3.398
Pd 3.038 5.919 5.789
Pd 1.013 8.509 7.566
Pd 1.013 3.023 2.935
Pd 1.013 7.493 1.427
Pd 3.038 4.903 3.203
Pd 1.013 4.875 0.964
Pd 3.038 8.537 5.326
Pd 3.038 4.066 7.761
Pd 1.013 4.038 5.521
Pt 3.038 6.815 8.465
Pt 1.013 2.127 0.260
Pt 1.013 6.597 4.102
Pt 3.038 2.344 4.622



Number 1: total energy -112.030 eV for the cell shown, size of the total moment 4.1 μB per formula unit. Number 2: total energy -15.444 eV for the cell shown, size of the total moment 0.0 μB per formula unit. Number 3: total energy -27.587 eV for the cell shown, size of the total moment 5.5 μB per formula unit. Number 4: total energy -23.347 eV for the cell shown, size of the total moment 0.0 μB per formula unit. Number 5: total energy -27.995 eV for the cell shown, size of the total moment 0.0 μB per formula unit. Number 6: total energy -35.476 eV for the cell shown, size of the total moment 0.0 μB per formula unit. Number 7: total energy -40.781 eV for the cell shown, size of the total moment 0.0 μB per formula unit. Number 8: total energy -109.609 eV for the cell shown, size of the total moment 0.0 μB per formula unit.